1.
Material: CaHoZnHg
Method: DFT, PBE-GGA
State: optimized geometry

Properties
V	100	Å³/cell
formation energy	-0.4112	eV per atom
total moment	0.00	μB/cell
uncorrected energy	-2.450	eV/atom
energy relative to the lowest polymorph listed for this composition	0.000	eV/atom

a = 3.6923 Å, b = 3.6923 Å, c = 7.3207 Å
α = 90.00°, β = 90.00°, γ = 90.00°
With the nearest neighbours (Å) after each atom.
Atoms (fractional coordinates):
Ho 0.5000 0.5000 0.5952  4 Zn 3.06, 4 Hg 3.17
Ca 0.5000 0.5000 0.1147  4 Zn 3.24, 4 Hg 3.29, 1 Ho 3.52
Hg 0.0000 0.0000 0.8414  4 Ho 3.17, 4 Ca 3.29, 1 Zn 3.40
Zn 0.0000 0.0000 0.3767  4 Ho 3.06, 4 Ca 3.24, 1 Hg 3.40



2.
Material: Ca2HgI
Method: DFT, PBE-GGA
State: optimized geometry

Properties
V	134	Å³/cell
total moment	0.30	μB/cell
uncorrected energy	-2.236	eV/atom
formation energy without anion corrections	-773	meV per atom
energy relative to the lowest polymorph listed for this composition	0.022	eV/atom

a = 4.2047 Å, b = 4.2047 Å, c = 9.0517 Å
α = 76.57°, β = 76.57°, γ = 60.00°
With the nearest neighbours (Å) after each atom.
Atoms (fractional coordinates):
I 0.4981 0.4981 0.5057  6 Ca 3.38-3.47
Ca 0.0751 0.0751 0.7748  3 Hg 3.11, 3 I 3.38
Hg 0.6675 0.6675 0.9975  6 Ca 3.11-3.12
Ca 0.2593 0.2593 0.2220  3 Hg 3.12, 3 I 3.47



3.
Material: CaHg2I
Method: DFT, PBE-GGA
State: optimized geometry

Properties
V	129	Å³/cell
total moment	0.00	μB/cell
uncorrected energy	-1.370	eV/atom
formation energy without anion corrections	-331	meV per atom
energy relative to the lowest polymorph listed for this composition	0.198	eV/atom

a = 5.6692 Å, b = 5.6692 Å, c = 5.6692 Å
α = 60.00°, β = 60.00°, γ = 60.00°
With the nearest neighbours (Å) after each atom.
Atoms (fractional coordinates):
Ca 0.0000 0.0000 0.0000  8 Hg 3.47
Hg 0.2500 0.2500 0.2500  4 I 3.47, 4 Ca 3.47
Hg 0.7500 0.7500 0.7500  4 I 3.47, 4 Ca 3.47
I 0.5000 0.5000 0.5000  8 Hg 3.47



4.
Material: CaHgI
Method: DFT, PBE-GGA
State: optimized geometry

Properties
V	220	Å³/cell
total moment	0.00	μB/cell
uncorrected energy	-2.217	eV/atom
formation energy without anion corrections	-933	meV per atom
energy relative to the lowest polymorph listed for this composition	0.000	eV/atom

a = 4.4839 Å, b = 4.4815 Å, c = 12.6457 Å
α = 90.87°, β = 89.82°, γ = 120.04°
With the nearest neighbours (Å) after each atom.
Atoms (fractional coordinates):
Ca 0.0036 0.0105 0.7056  3 I 3.15, 3 Hg 3.23
Hg 0.6658 0.3308 0.4476  3 Hg 2.91, 3 Ca 3.23
I 0.6724 0.3508 0.8473  3 Ca 3.15
Ca 0.9964 0.9895 0.2944  3 I 3.15, 3 Hg 3.23
I 0.3276 0.6492 0.1527  3 Ca 3.15
Hg 0.3342 0.6692 0.5524  3 Hg 2.91, 3 Ca 3.23



5.
Material: CaHgI4
Method: DFT, PBE-GGA
State: optimized geometry

Properties
V	528	Å³/cell
total moment	0.00	μB/cell
uncorrected energy	-2.327	eV/atom
formation energy without anion corrections	-910	meV per atom
energy relative to the lowest polymorph listed for this composition	0.000	eV/atom

a = 4.4543 Å, b = 7.8238 Å, c = 15.1654 Å
α = 87.02°, β = 90.00°, γ = 90.00°
With the nearest neighbours (Å) after each atom.
Atoms (fractional coordinates):
Hg 0.0000 0.0000 0.0000  2 I 2.83
Hg 0.5000 0.5000 0.5000  2 I 2.83
I 0.5007 0.1707 0.3804  2 Ca 3.12-3.13, 1 Hg 3.23
I 0.4205 0.8348 0.1155  1 Hg 2.83
Ca 0.5000 0.5000 0.0000  6 I 3.12-3.25
I 0.9205 0.6652 0.3845  1 Hg 2.83
Ca 0.0000 0.0000 0.5000  6 I 3.12-3.25
I 0.0007 0.3293 0.1196  2 Ca 3.12-3.13, 1 Hg 3.23
I 0.4993 0.8293 0.6196  2 Ca 3.12-3.13, 1 Hg 3.23
I 0.5795 0.1652 0.8845  1 Hg 2.83
I 0.9993 0.6707 0.8804  2 Ca 3.12-3.13, 1 Hg 3.23
I 0.0795 0.3348 0.6155  1 Hg 2.83



6.
Material: Ca2HgI
Method: DFT, PBE-GGA
State: optimized geometry

Properties
V	285	Å³/cell
total moment	0.00	μB/cell
uncorrected energy	-2.057	eV/atom
formation energy without anion corrections	-593	meV per atom
energy relative to the lowest polymorph listed for this composition	0.202	eV/atom

a = 8.3386 Å, b = 8.3386 Å, c = 7.1785 Å
α = 54.49°, β = 54.49°, γ = 90.00°
With the nearest neighbours (Å) after each atom.
Atoms (fractional coordinates):
Hg 0.7500 0.2500 0.5000  4 Ca 3.05
Ca 0.8750 0.8888 0.7500  2 Hg 3.05, 2 I 3.20
Hg 0.0000 0.0000 0.0000  4 Ca 3.05
Ca 0.6388 0.1250 0.2500  2 Hg 3.05, 2 I 3.20
Ca 0.1112 0.6250 0.2500  2 Hg 3.05, 2 I 3.20
Ca 0.3750 0.3612 0.7500  2 Hg 3.05, 2 I 3.20
I 0.5000 0.5000 0.0000  4 Ca 3.20
I 0.2500 0.7500 0.5000  4 Ca 3.20



7.
Material: CaHg2I6
Method: DFT, PBE-GGA
State: optimized geometry

Properties
V	434	Å³/cell
total moment	0.00	μB/cell
uncorrected energy	-1.995	eV/atom
formation energy without anion corrections	-673	meV per atom
energy relative to the lowest polymorph listed for this composition	0.032	eV/atom

a = 4.5534 Å, b = 8.6508 Å, c = 12.4667 Å
α = 112.72°, β = 90.06°, γ = 105.28°
With the nearest neighbours (Å) after each atom.
Atoms (fractional coordinates):
Hg 0.8007 0.6003 0.2785  4 I 2.78-3.00
I 0.3951 0.7914 0.8190  1 Hg 3.00, 2 Ca 3.19
I 0.1429 0.2861 0.9029  1 Hg 2.78, 1 Ca 3.08
I 0.6550 0.3122 0.5699  2 Hg 2.86
Ca 0.0000 0.0000 0.0000  6 I 3.08-3.19
I 0.6049 0.2086 0.1810  1 Hg 3.00, 2 Ca 3.19
I 0.3450 0.6878 0.4301  2 Hg 2.86
Hg 0.1993 0.3997 0.7215  4 I 2.78-3.00
I 0.8571 0.7139 0.0971  1 Hg 2.78, 1 Ca 3.08



8.
Material: Ca4HgI8
Method: DFT, PBE-GGA
State: optimized geometry

Properties
V	584	Å³/cell
total moment	0.00	μB/cell
uncorrected energy	-3.064	eV/atom
formation energy without anion corrections	-1471	meV per atom

a = 4.5844 Å, b = 11.2597 Å, c = 11.8493 Å
α = 81.77°, β = 78.85°, γ = 78.25°
With the nearest neighbours (Å) after each atom.
Atoms (fractional coordinates):
I 0.4768 0.3319 0.7145  3 Ca 3.15-3.19
I 0.8502 0.9905 0.3090  3 Ca 3.16
Ca 0.3681 0.8293 0.4345  6 I 3.14-3.19
Ca 0.8524 0.4985 0.7966  6 I 3.15-3.18
Hg 0.5178 0.9999 0.9645  10 I 4.42-4.62, 2 Hg 4.58
I 0.5544 0.6717 0.2195  3 Ca 3.15-3.19
Ca 0.6630 0.1744 0.4995  6 I 3.14-3.19
I 0.1808 0.0133 0.6250  3 Ca 3.16
I 0.2256 0.6581 0.8906  3 Ca 3.16-3.17
I 0.8862 0.6696 0.5581  3 Ca 3.14-3.18
I 0.1447 0.3343 0.3762  3 Ca 3.14-3.18
Ca 0.1787 0.5049 0.1376  6 I 3.15-3.18
I 0.8055 0.3454 0.0436  3 Ca 3.16-3.17



9.
Material: CaHgI3
Method: DFT, PBE-GGA
State: optimized geometry

Properties
V	233	Å³/cell
total moment	0.00	μB/cell
uncorrected energy	-2.130	eV/atom
formation energy without anion corrections	-739	meV per atom
energy relative to the lowest polymorph listed for this composition	0.000	eV/atom

a = 6.1512 Å, b = 6.1512 Å, c = 6.1512 Å
α = 90.00°, β = 90.00°, γ = 90.00°
With the nearest neighbours (Å) after each atom.
Atoms (fractional coordinates):
I 0.0000 0.5000 0.0000  2 Ca 3.08
Hg 0.5000 0.5000 0.5000  12 I 4.35
I 0.5000 0.0000 0.0000  2 Ca 3.08
I 0.0000 0.0000 0.5000  2 Ca 3.08
Ca 0.0000 0.0000 0.0000  6 I 3.08



10.
Material: Ca2HgI
Method: DFT, PBE-GGA
State: optimized geometry

Properties
V	123	Å³/cell
total moment	0.00	μB/cell
uncorrected energy	-1.991	eV/atom
formation energy without anion corrections	-527	meV per atom
energy relative to the lowest polymorph listed for this composition	0.268	eV/atom

a = 5.5826 Å, b = 5.5826 Å, c = 5.5826 Å
α = 60.00°, β = 60.00°, γ = 60.00°
With the nearest neighbours (Å) after each atom.
Atoms (fractional coordinates):
Ca 0.7500 0.7500 0.7500  4 Hg 3.42, 4 I 3.42
I 0.0000 0.0000 0.0000  8 Ca 3.42
Hg 0.5000 0.5000 0.5000  8 Ca 3.42
Ca 0.2500 0.2500 0.2500  4 Hg 3.42, 4 I 3.42



11.
Material: Ca2HgI
Method: DFT, PBE-GGA
State: optimized geometry

Properties
V	125	Å³/cell
total moment	0.00	μB/cell
uncorrected energy	-2.199	eV/atom
formation energy without anion corrections	-735	meV per atom
energy relative to the lowest polymorph listed for this composition	0.060	eV/atom

a = 3.8465 Å, b = 3.8465 Å, c = 8.4580 Å
α = 90.00°, β = 90.00°, γ = 90.00°
With the nearest neighbours (Å) after each atom.
Atoms (fractional coordinates):
I 0.5000 0.5000 0.5000  8 Ca 3.63, 4 I 3.85
Hg 0.5000 0.5000 0.0000  8 Ca 3.28
Ca 0.0000 0.0000 0.7839  4 Hg 3.28, 4 I 3.63, 1 Ca 3.66
Ca 0.0000 0.0000 0.2161  4 Hg 3.28, 4 I 3.63, 1 Ca 3.66



12.
Material: CaHg2I
Method: DFT, PBE-GGA
State: optimized geometry

Properties
V	164	Å³/cell
total moment	0.01	μB/cell
uncorrected energy	-1.169	eV/atom
formation energy without anion corrections	-130	meV per atom
energy relative to the lowest polymorph listed for this composition	0.399	eV/atom

a = 4.2522 Å, b = 4.2522 Å, c = 10.7847 Å
α = 78.63°, β = 78.63°, γ = 60.00°
With the nearest neighbours (Å) after each atom.
Atoms (fractional coordinates):
Ca 0.0000 0.0000 0.0000  2 Hg 3.03
Hg 0.9038 0.9038 0.2885  1 Ca 3.03, 3 I 3.31
I 0.5000 0.5000 0.5000  6 Hg 3.31
Hg 0.0962 0.0962 0.7115  1 Ca 3.03, 3 I 3.31